(1)
This record from Alexandria describes a relaxed structure of MoPdW3. The functional is GGA-PBE.

Calculated values
Raw total energy ... -8.925 eV/atom
Formation energy from the elements ... 2.051 eV/atom
ΔE to the lowest computed polymorph ... 0 meV per atom
Density of states at the Fermi level ... 3.83 states/eV per cell

Lattice parameters (Å, degrees): 4.6897 4.6897 4.6897 90.00 90.00 90.00
With the nearest neighbours (Å) after each atom.
Fractional positions:
Mo (0.0000, 0.0000, 0.0000)  6 W 2.34
Pd (0.5000, 0.5000, 0.5000)  12 W 3.32
W (0.0000, 0.5000, 0.0000)  2 Mo 2.34
W (0.0000, 0.0000, 0.5000)  2 Mo 2.34
W (0.5000, 0.0000, 0.0000)  2 Mo 2.34



(2)
This record from Alexandria describes a relaxed structure of LiPr4S6. The functional is GGA-PBE.

Calculated values
Raw total energy ... -6.085 eV/atom
Formation energy from raw total energies ... -1.92 eV per atom
Density of states at the Fermi level ... 10.30 states/eV per cell

Lattice parameters (Å, degrees): 7.9077 7.9077 7.9077 89.27 89.27 90.73
With the nearest neighbours (Å) after each atom.
Fractional positions:
Li (0.5000, 0.5000, 0.5000)  6 S 2.58
Li (0.0000, 0.0000, 0.0000)  6 S 2.58
Pr (0.3664, 0.1336, 0.2500)  8 S 2.93-3.10
Pr (0.8664, 0.2500, 0.3664)  8 S 2.93-3.10
Pr (0.2500, 0.6336, 0.1336)  8 S 2.93-3.10
Pr (0.2500, 0.2500, 0.7500)  6 S 2.82
Pr (0.7500, 0.7500, 0.2500)  6 S 2.82
Pr (0.7500, 0.3664, 0.8664)  8 S 2.93-3.10
Pr (0.1336, 0.7500, 0.6336)  8 S 2.93-3.10
Pr (0.6336, 0.8664, 0.7500)  8 S 2.93-3.10
S (0.6901, 0.0607, 0.0826)  1 Li 2.58, 1 Pr 2.82
S (0.0826, 0.3099, 0.0607)  1 Li 2.58, 1 Pr 2.82
S (0.5826, 0.4393, 0.1901)  1 Li 2.58, 1 Pr 2.82
S (0.9393, 0.0826, 0.6901)  1 Li 2.58, 1 Pr 2.82
S (0.5607, 0.1901, 0.5826)  1 Li 2.58, 1 Pr 2.82
S (0.1901, 0.4174, 0.4393)  1 Li 2.58, 1 Pr 2.82
S (0.8099, 0.5826, 0.5607)  1 Li 2.58, 1 Pr 2.82
S (0.4393, 0.8099, 0.4174)  1 Li 2.58, 1 Pr 2.82
S (0.0607, 0.9174, 0.3099)  1 Li 2.58, 1 Pr 2.82
S (0.4174, 0.5607, 0.8099)  1 Li 2.58, 1 Pr 2.82
S (0.9174, 0.6901, 0.9393)  1 Li 2.58, 1 Pr 2.82
S (0.3099, 0.9393, 0.9174)  1 Li 2.58, 1 Pr 2.82



(3)
This record from Alexandria describes a relaxed structure of Mn2PdI2. The functional is GGA-PBE.

Calculated values
Raw total energy ... -4.826 eV/atom
ΔE to the lowest computed polymorph ... 0 meV per atom
Formation energy from raw total energies ... 0.50 eV per atom
Density of states at the Fermi level ... 2.46 states/eV per cell

Lattice parameters (Å, degrees): 3.6458 3.6458 8.2906 77.30 77.30 90.00
With the nearest neighbours (Å) after each atom.
Fractional positions:
I (0.3801, 0.3801, 0.2398)  4 Mn 2.74
I (0.6199, 0.6199, 0.7602)  4 Mn 2.74
Mn (0.7500, 0.2500, 0.5000)  4 Mn 2.58, 4 I 2.74
Mn (0.2500, 0.7500, 0.5000)  4 Mn 2.58, 4 I 2.74
Pd (0.0000, 0.0000, 0.0000)  8 I 3.20



(4)
This record from Alexandria describes a relaxed structure of LaSi3Ir. The functional is GGA-PBE.

Calculated values
Raw total energy ... -6.000 eV/atom
ΔE to the lowest computed polymorph ... 871 meV per atom
Formation energy from raw total energies ... 0.01 eV per atom
Density of states at the Fermi level ... 1.31 states/eV per cell

Lattice parameters (Å, degrees): 4.7464 4.7464 4.7464 90.00 90.00 90.00
With the nearest neighbours (Å) after each atom.
Fractional positions:
Si (0.0000, 0.5000, 0.0000)  2 Ir 2.37
Si (0.0000, 0.0000, 0.5000)  2 Ir 2.37
Si (0.5000, 0.0000, 0.0000)  2 Ir 2.37
Ir (0.0000, 0.0000, 0.0000)  6 Si 2.37
La (0.5000, 0.5000, 0.5000)  12 Si 3.36



Q: Which of these has the highest density of states at the Fermi level?
A: LiPr4S6



Q: density of states at the Fermi level of number 4 (LaSi3Ir)?
A: 1.31 states/eV per cell